## TlVO2F (PBE with a Hubbard U)

Data for crystalline TlVO2F at its relaxed geometry.

Output
- crystal system = tetragonal
- energy (eV per atom) = -4.445
- space-group type = P4/mmm (123)

Cell lengths 4.299, 4.299, 4.370 Å; angles 90.00, 90.00, 90.00 degrees
Element x y z (fractional)
Tl 0.000 0.000 0.000
V 0.500 0.500 0.500
O 0.000 0.500 0.000
O 0.500 0.000 0.000
F 0.000 0.000 0.500